[1]
Below is AcZn2Au after structural relaxation, with properties calculated at the PBE level.

For the excess energy over the best structure of this formula in the dataset, the calculation gives 254.4 meV per atom. As for the formation energy: -23.9 kJ/mol of atoms. The density of states at the Fermi level comes out at 0.574 states/eV per atom. As for the space group: P4/mmm, No. 123.

a b c (Å): 4.4639 4.4639 4.9831
angles (deg): 90.00 90.00 90.00
Element x y z (fractional)
Ac: 0.0000 0.0000 0.0000
Zn: 0.0000 0.5000 0.5000
Zn: 0.5000 0.0000 0.5000
Au: 0.5000 0.5000 0.0000



[2]
Below is AcZn5Au2 after structural relaxation, with properties calculated at the PBE level.

As for the formation energy: -35.2 kJ/mol of atoms. The density of states at the Fermi level comes out at 0.470 states/eV per atom. As for the space group: Immm, No. 71.

a b c (Å): 6.6223 6.6223 6.6223
angles (deg): 142.40 112.06 80.33
Element x y z (fractional)
Ac: 0.0000 0.0000 0.0000
Zn: 0.1837 0.3636 0.8201
Zn: 0.4565 0.6364 0.8201
Zn: 0.5000 0.0000 0.5000
Zn: 0.5435 0.3636 0.1799
Zn: 0.8163 0.6364 0.1799
Au: 0.2465 0.7465 0.5000
Au: 0.7535 0.2535 0.5000



[3]
Below is AcZn2Au10 after structural relaxation, with properties calculated at the PBE level.

As for the formation energy: -29.6 kJ/mol of atoms. The density of states at the Fermi level comes out at 0.289 states/eV per atom. As for the space group: Fmmm, No. 69.

a b c (Å): 9.5590 7.5016 7.1075
angles (deg): 81.69 50.94 47.37
Element x y z (fractional)
Ac: 0.0000 0.0000 0.0000
Zn: 0.0000 0.5000 0.0000
Zn: 0.5000 0.0000 0.5000
Au: 0.0000 0.0000 0.5000
Au: 0.0096 0.3427 0.6573
Au: 0.2759 0.4919 0.5081
Au: 0.3427 0.0096 0.9904
Au: 0.4919 0.2759 0.7241
Au: 0.5000 0.5000 0.0000
Au: 0.5081 0.7241 0.2759
Au: 0.6573 0.9904 0.0096
Au: 0.7241 0.5081 0.4919
Au: 0.9904 0.6573 0.3427



[4]
Below is Ac2Zn2Au5 after structural relaxation, with properties calculated at the PBE level.

As for the formation energy: -54.7 kJ/mol of atoms. The density of states at the Fermi level comes out at 0.320 states/eV per atom. As for the space group: P4/mmm, No. 123.

a b c (Å): 4.7374 4.7374 9.2807
angles (deg): 90.00 90.00 90.00
Element x y z (fractional)
Ac: 0.0000 0.0000 0.0000
Ac: 0.0000 0.0000 0.5000
Zn: 0.5000 0.5000 0.1366
Zn: 0.5000 0.5000 0.8634
Au: 0.0000 0.5000 0.2601
Au: 0.0000 0.5000 0.7399
Au: 0.5000 0.0000 0.2601
Au: 0.5000 0.0000 0.7399
Au: 0.5000 0.5000 0.5000



[5]
Below is Ac4Zn2Au5 after structural relaxation, with properties calculated at the PBE level.

As for the formation energy: -67.0 kJ/mol of atoms. The density of states at the Fermi level comes out at 0.603 states/eV per atom. As for the space group: P2/m, No. 10.

a b c (Å): 8.0986 4.1040 9.1031
angles (deg): 90.00 93.09 90.00
Element x y z (fractional)
Ac: 0.2152 0.0000 0.3561
Ac: 0.2682 0.0000 0.8725
Ac: 0.7318 0.0000 0.1275
Ac: 0.7848 0.0000 0.6439
Zn: 0.4341 0.5000 0.6180
Zn: 0.5659 0.5000 0.3820
Au: 0.0000 0.5000 0.0000
Au: 0.1092 0.5000 0.6294
Au: 0.3908 0.5000 0.1300
Au: 0.6092 0.5000 0.8700
Au: 0.8908 0.5000 0.3706



[6]
Below is Ac2Zn12Au7 after structural relaxation, with properties calculated at the PBE level.

As for the formation energy: -34.4 kJ/mol of atoms. The density of states at the Fermi level comes out at 0.397 states/eV per atom. As for the space group: P-3, No. 147.

a b c (Å): 10.5348 10.5348 4.2902
angles (deg): 90.00 90.00 120.00
Element x y z (fractional)
Ac: 0.3333 0.6667 0.2468
Ac: 0.6667 0.3333 0.7532
Zn: 0.0499 0.6205 0.7491
Zn: 0.1239 0.8632 0.2402
Zn: 0.1368 0.2607 0.2402
Zn: 0.2607 0.1239 0.7598
Zn: 0.3795 0.4293 0.7491
Zn: 0.4293 0.0499 0.2509
Zn: 0.5707 0.9501 0.7491
Zn: 0.6205 0.5707 0.2509
Zn: 0.7393 0.8761 0.2402
Zn: 0.8632 0.7393 0.7598
Zn: 0.8761 0.1368 0.7598
Zn: 0.9501 0.3795 0.2509
Au: 0.0000 0.0000 0.5000
Au: 0.1150 0.4056 0.7494
Au: 0.2906 0.8850 0.7494
Au: 0.4056 0.2906 0.2506
Au: 0.5944 0.7094 0.7494
Au: 0.7094 0.1150 0.2506
Au: 0.8850 0.5944 0.2506